Hf4GaNi15 | the Alexandria database | PBE | relaxed; energy of formation from the pure elements = -0.483 eV/atom; symmetry = P4/mmm (123)
1.0
3.712 0.000 0.000
0.000 3.712 0.000
0.000 0.000 18.353
Hf Ga Ni
4 1 15
Direct
0.000 0.000 0.103 Hf
0.000 0.000 0.308 Hf
0.000 0.000 0.692 Hf
0.000 0.000 0.897 Hf
0.000 0.000 0.500 Ga
0.000 0.500 0.000 Ni
0.000 0.500 0.203 Ni
0.000 0.500 0.407 Ni
0.000 0.500 0.593 Ni
0.000 0.500 0.797 Ni
0.500 0.000 0.000 Ni
0.500 0.000 0.203 Ni
0.500 0.000 0.407 Ni
0.500 0.000 0.593 Ni
0.500 0.000 0.797 Ni
0.500 0.500 0.101 Ni
0.500 0.500 0.305 Ni
0.500 0.500 0.500 Ni
0.500 0.500 0.695 Ni
0.500 0.500 0.899 Ni